SnRuO4: optimized geometry, PBE.

Unit cell a=6.618 b=6.618 c=6.433 alpha=90.00 beta=90.00 gamma=90.00
Space group I4_1md (No. 109)
Unique sites:
Sn (0.000, 0.000, 0.000)
Ru (0.000, 0.000, 0.502)
O (0.000, 0.301, 0.512)
O (0.000, 0.309, 0.996)

Results
Energy ... -6.758 eV/atom
D(E_F) ... 10.93 states/eV/cell
Formation energy without anion corrections ... -1240 meV/atom